No. 1
Here is an optimized crystal structure of LaFe3P from Alexandria. Energies are from PBE.

The structure in CIF format:
```
data_LaFe3P
_space_group_name_H-M_alt 'P m -3 m'
_space_group_IT_number 221
_space_group_name_Hall '-P 4 2 3'
_cell_length_a 4.613
_cell_length_b 4.613
_cell_length_c 4.613
_cell_angle_alpha 90.00
_cell_angle_beta 90.00
_cell_angle_gamma 90.00
loop_
_atom_site_label
_atom_site_fract_x
_atom_site_fract_y
_atom_site_fract_z
La1 0.000 0.000 0.000
Fe1 0.000 0.000 0.500
P1 0.500 0.500 0.500
```

## Properties
The value obtained for the density of states at the Fermi level is 6.018 states/eV/f.u. As for the formation energy: 9.2 eV/f.u.

***

No. 2
Here is an optimized crystal structure of Ta2TlZn from Alexandria. Energies are from PBE.

The structure in CIF format:
```
data_Ta2TlZn
_space_group_name_H-M_alt 'C 1 m 1'
_space_group_IT_number 8
_space_group_name_Hall 'C -2y'
_cell_length_a 10.041
_cell_length_b 2.969
_cell_length_c 5.192
_cell_angle_alpha 90.00
_cell_angle_beta 100.05
_cell_angle_gamma 90.00
loop_
_atom_site_label
_atom_site_fract_x
_atom_site_fract_y
_atom_site_fract_z
Ta1 0.000 0.000 0.000
Ta2 0.231 0.500 0.194
Tl1 0.490 0.000 0.497
Zn1 0.253 0.000 0.724
```

## Properties
The value obtained for the density of states at the Fermi level is 1.952 states/eV/f.u. As for the formation energy: 1.7 eV/f.u.